Computed, not measured: crystalline VTcS2N at its relaxed geometry at the GGA-PBE level of DFT.

Unit cell a=4.7684 b=4.7684 c=3.6692 alpha=90.00 beta=90.00 gamma=90.00
Closest atoms and distances in Å follow each position.
Fractional coordinates of all 5 atoms:
V 0.5000 0.5000 0.5000  8 S 3.01
Tc 0.0000 0.0000 0.0000  2 N 1.83
N 0.0000 0.0000 0.5000  2 Tc 1.83
S 0.5000 0.0000 0.0000  2 Tc 2.38
S 0.0000 0.5000 0.0000  2 Tc 2.38

Calculated values
- SG = P4/mmm (123)
- formation energy without anion corrections (eV per atom) = 0.5522


Computed, not measured: crystalline TcWSN2 at its relaxed geometry at the GGA-PBE level of DFT.

Unit cell a=3.8912 b=3.8912 c=5.0249 alpha=90.00 beta=90.00 gamma=90.00
Closest atoms and distances in Å follow each position.
Fractional coordinates of all 5 atoms:
Tc 0.5000 0.5000 0.5000  4 S 2.75
S 0.0000 0.0000 0.5000  2 W 2.51, 4 Tc 2.75
W 0.0000 0.0000 0.0000  4 N 1.95
N 0.5000 0.0000 0.0000  2 W 1.95
N 0.0000 0.5000 0.0000  2 W 1.95

Calculated values
- SG = P4/mmm (123)
- formation energy without anion corrections (eV per atom) = 0.7376


Computed, not measured: crystalline TcWSN2 at its relaxed geometry at the GGA-PBE level of DFT.

Unit cell a=3.8053 b=3.8053 c=5.0162 alpha=90.00 beta=90.00 gamma=90.00
Closest atoms and distances in Å follow each position.
Fractional coordinates of all 5 atoms:
S 0.0000 0.0000 0.5000  2 Tc 2.51, 4 W 2.69
W 0.5000 0.5000 0.5000  4 S 2.69
N 0.5000 0.0000 0.0000  2 Tc 1.90
N 0.0000 0.5000 0.0000  2 Tc 1.90
Tc 0.0000 0.0000 0.0000  4 N 1.90

Calculated values
- SG = P4/mmm (123)
- formation energy without anion corrections (eV per atom) = 1.1978


Computed, not measured: crystalline TeSN2 at its relaxed geometry at the GGA-PBE level of DFT.

Unit cell a=6.9389 b=3.0932 c=12.7786 alpha=83.03 beta=92.94 gamma=114.24
Closest atoms and distances in Å follow each position.
Fractional coordinates of all 8 atoms:
N 0.1610 0.8675 0.0975  1 N 1.11
N 0.8390 0.1325 0.9025  1 N 1.11
N 0.6631 0.9675 0.9028  1 N 1.11
N 0.3369 0.0325 0.0972  1 N 1.11
Te 0.0000 0.5000 0.5000  2 S 2.65
Te 0.5000 0.0000 0.5000  2 S 2.65
S 0.2505 0.6663 0.6678  2 Te 2.65
S 0.7495 0.3337 0.3322  2 Te 2.65

Calculated values
- SG = P-1 (2)
- formation energy without anion corrections (eV per atom) = 0.1784


Computed, not measured: crystalline Te2SN at its relaxed geometry at the GGA-PBE level of DFT.

Unit cell a=8.2774 b=8.2774 c=8.2774 alpha=26.03 beta=26.03 gamma=26.03
Closest atoms and distances in Å follow each position.
Fractional coordinates of all 4 atoms:
Te 0.0811 0.0811 0.0811  1 N 1.95
Te 0.9189 0.9189 0.9189  1 N 1.95
N 0.0000 0.0000 0.0000  2 Te 1.95
S 0.5000 0.5000 0.5000  6 Te 2.97

Calculated values
- SG = R-3m (166)
- formation energy without anion corrections (eV per atom) = 0.7821


Computed, not measured: crystalline Te3SN at its relaxed geometry at the GGA-PBE level of DFT.

Unit cell a=4.7616 b=4.7616 c=4.7616 alpha=90.00 beta=90.00 gamma=90.00
Closest atoms and distances in Å follow each position.
Fractional coordinates of all 5 atoms:
S 0.5000 0.5000 0.5000  12 Te 3.37
Te 0.0000 0.0000 0.5000  2 N 2.38
Te 0.5000 0.0000 0.0000  2 N 2.38
Te 0.0000 0.5000 0.0000  2 N 2.38
N 0.0000 0.0000 0.0000  6 Te 2.38

Calculated values
- SG = Pm-3m (221)
- formation energy without anion corrections (eV per atom) = 0.9847


Computed, not measured: crystalline TeS3N at its relaxed geometry at the GGA-PBE level of DFT.

Unit cell a=4.2839 b=4.2839 c=4.2839 alpha=90.00 beta=90.00 gamma=90.00
Closest atoms and distances in Å follow each position.
Fractional coordinates of all 5 atoms:
S 0.0000 0.5000 0.0000  2 N 2.14
S 0.0000 0.0000 0.5000  2 N 2.14
S 0.5000 0.0000 0.0000  2 N 2.14
N 0.0000 0.0000 0.0000  6 S 2.14
Te 0.5000 0.5000 0.5000  12 S 3.03

Calculated values
- SG = Pm-3m (221)
- formation energy without anion corrections (eV per atom) = 1.1092


Computed, not measured: crystalline TeSN2 at its relaxed geometry at the GGA-PBE level of DFT.

Unit cell a=4.1259 b=4.1259 c=4.1259 alpha=60.00 beta=60.00 gamma=60.00
Closest atoms and distances in Å follow each position.
Fractional coordinates of all 4 atoms:
S 0.0000 0.0000 0.0000  8 N 2.53
Te 0.5000 0.5000 0.5000  8 N 2.53
N 0.2500 0.2500 0.2500  4 Te 2.53, 4 S 2.53
N 0.7500 0.7500 0.7500  4 Te 2.53, 4 S 2.53

Calculated values
- SG = Fm-3m (225)
- formation energy without anion corrections (eV per atom) = 2.0380


Excess energy over the best structure of this formula in the dataset list, top to bottom, in meV/atom: 122.1 0.0 460.2 0.0 0.0 0.0 509.4 1859.6
Theoretical density list, top to bottom, in g/cm³: 4.52 7.46 7.82 2.51 5.20 6.60 5.02 6.28